Entry 1:
Computed, not measured: a geometry-optimized Ti4Al3Zn structure at the PBE level of DFT.

Results
As for the total magnetic moment: 0.000 μB/atom. As for the energy of formation from the pure elements: -0.3533 eV/atom. The value obtained for the density of states at the Fermi level is 1.009 states/eV/atom.

a b c (Å): 2.8174 2.8174 16.1318
angles (deg): 90.00 90.00 90.00
Space group P4/mmm (No. 123)
One atom of each set of equivalent atoms:
Ti: 0.0000 0.0000 0.1223 (multiplicity 2)
Ti: 0.0000 0.0000 0.3725 (multiplicity 2)
Al: 0.5000 0.5000 0.2466 (multiplicity 2)
Al: 0.5000 0.5000 0.5000 (multiplicity 1)
Zn: 0.5000 0.5000 0.0000 (multiplicity 1)


Entry 2:
Computed, not measured: a geometry-optimized NaIO2 structure at the PBE level of DFT.

Results
As for the excess energy over the best structure of this formula in the dataset: 371 meV/atom. As for the total magnetic moment: 0.000 μB/atom. The uncorrected formation energy is -412.1 meV per atom. The value obtained for the density of states at the Fermi level is 0.001 states/eV/atom.

a b c (Å): 4.7935 4.7935 12.9053
angles (deg): 90.00 90.00 90.00
Space group I-42d (No. 122)
One atom of each set of equivalent atoms:
Na: 0.0000 0.0000 0.0000 (multiplicity 4)
I: 0.0000 0.0000 0.5000 (multiplicity 4)
O: 0.1941 0.2500 0.6250 (multiplicity 8)


Entry 3:
Computed, not measured: a geometry-optimized KCa2Mn structure at the PBE level of DFT.

Results
As for the excess energy over the best structure of this formula in the dataset: 0 meV/atom. As for the total magnetic moment: 0.872 μB/atom. As for the energy of formation from the pure elements: 0.3348 eV/atom. The value obtained for the density of states at the Fermi level is 1.014 states/eV/atom.

a b c (Å): 3.7959 3.7959 10.4938
angles (deg): 90.00 90.00 90.00
Space group P4/mmm (No. 123)
One atom of each set of equivalent atoms:
K: 0.0000 0.0000 0.0000 (multiplicity 1)
Ca: 0.5000 0.5000 0.3310 (multiplicity 2)
Mn: 0.0000 0.0000 0.5000 (multiplicity 1)


Entry 4:
Computed, not measured: a geometry-optimized CaOs2Se structure at the PBE level of DFT.

Results
As for the total magnetic moment: 0.000 μB/atom. The uncorrected formation energy is 687.8 meV per atom. The value obtained for the density of states at the Fermi level is 0.072 states/eV/atom.

a b c (Å): 7.5143 7.5143 5.5266
angles (deg): 90.00 90.00 90.00
Space group I-42d (No. 122)
One atom of each set of equivalent atoms:
Ca: 0.0000 0.0000 0.0000 (multiplicity 4)
Os: 0.1686 0.7500 0.6250 (multiplicity 8)
Se: 0.0000 0.0000 0.5000 (multiplicity 4)


Entry 5:
Computed, not measured: a geometry-optimized SmEr2Ga structure at the PBE level of DFT.

Results
As for the excess energy over the best structure of this formula in the dataset: 95 meV/atom. As for the total magnetic moment: 0.001 μB/atom. As for the energy of formation from the pure elements: -0.1945 eV/atom. The value obtained for the density of states at the Fermi level is 1.179 states/eV/atom.

a b c (Å): 3.5861 3.5861 30.6334
angles (deg): 90.00 90.00 120.00
Space group R3m (No. 160, hexagonal axes)
One atom of each set of equivalent atoms:
Sm: 0.0000 0.0000 0.0000 (multiplicity 3)
Er: 0.0000 0.0000 0.5700 (multiplicity 3)
Er: 0.0000 0.0000 0.7628 (multiplicity 3)
Ga: 0.0000 0.0000 0.1660 (multiplicity 3)


Entry 6:
Computed, not measured: a geometry-optimized Sm2B3Pt12Au structure at the PBE level of DFT.

Results
As for the total magnetic moment: 0.000 μB/atom. As for the energy of formation from the pure elements: -0.3172 eV/atom. The value obtained for the density of states at the Fermi level is 0.356 states/eV/atom.

a b c (Å): 7.9668 7.9668 17.5770
angles (deg): 90.00 90.00 120.00
Space group R-3m (No. 166, hexagonal axes)
One atom of each set of equivalent atoms:
Sm: 0.0000 0.0000 0.1017 (multiplicity 6)
B: 0.0000 0.5000 0.0000 (multiplicity 9)
Pt: 0.0197 0.5098 0.8786 (multiplicity 18)
Pt: 0.0571 0.5285 0.3536 (multiplicity 18)
Au: 0.0000 0.0000 0.5000 (multiplicity 3)


What did the third record say?
Computed, not measured: a geometry-optimized KCa2Mn structure at the PBE level of DFT.

Results
As for the excess energy over the best structure of this formula in the dataset: 0 meV/atom. As for the total magnetic moment: 0.872 μB/atom. As for the energy of formation from the pure elements: 0.3348 eV/atom. The value obtained for the density of states at the Fermi level is 1.014 states/eV/atom.

a b c (Å): 3.7959 3.7959 10.4938
angles (deg): 90.00 90.00 90.00
Space group P4/mmm (No. 123)
One atom of each set of equivalent atoms:
K: 0.0000 0.0000 0.0000 (multiplicity 1)
Ca: 0.5000 0.5000 0.3310 (multiplicity 2)
Mn: 0.0000 0.0000 0.5000 (multiplicity 1)